(1)
A geometry-optimized SmDyTmSc structure, computed with GGA-PBE.

Output
* E_form: 0.10 eV per atom
* space group: Cm
* crystal system: monoclinic
* density of states at the Fermi level: 6.79 states/eV per cell
* excess energy over the best structure of this formula in the dataset: 0 meV/atom
* E: -4.93 eV per atom

Cell: 3.763 5.594 6.640 Å, 114.91 73.50 90.00°
Positions (direct):
Sc 0.920 0.643 0.286
Sm 0.423 0.139 0.277
Dy 0.653 0.410 0.820
Tm 0.191 0.873 0.745

***

(2)
A geometry-optimized SmDyTmSc structure, computed with GGA-PBE.

Output
* E_form: 0.11 eV per atom
* space group: F-43m
* crystal system: cubic
* density of states at the Fermi level: 6.23 states/eV per cell
* excess energy over the best structure of this formula in the dataset: 11 meV/atom
* E: -4.92 eV per atom

Cell: 5.537 5.537 5.537 Å, 60.00 60.00 60.00°
Positions (direct):
Sc 0.000 0.000 0.000
Dy 0.250 0.250 0.250
Tm 0.500 0.500 0.500
Sm 0.750 0.750 0.750

***

(3)
A geometry-optimized SmDyTm3Sc structure, computed with GGA-PBE.

Output
* E_form: 0.04 eV per atom
* space group: Cmcm
* crystal system: orthorhombic
* density of states at the Fermi level: 17.36 states/eV per cell
* E: -4.81 eV per atom

Cell: 4.925 7.788 9.857 Å, 90.00 90.00 108.43°
Positions (direct):
Sc 0.168 0.337 0.250
Tm 0.668 0.336 0.000
Tm 0.668 0.336 0.500
Tm 0.332 0.664 0.000
Sm 0.498 0.996 0.750
Sc 0.832 0.663 0.750
Sm 0.502 0.004 0.250
Dy 0.000 0.000 0.500
Tm 0.830 0.661 0.250
Tm 0.332 0.664 0.500
Tm 0.170 0.339 0.750
Dy 0.000 0.000 0.000

***

- Number 2 is which compound?
  SmDyTmSc

***

What did the third record say?
A geometry-optimized SmDyTm3Sc structure, computed with GGA-PBE.

Output
* E_form: 0.04 eV per atom
* space group: Cmcm
* crystal system: orthorhombic
* density of states at the Fermi level: 17.36 states/eV per cell
* E: -4.81 eV per atom

Cell: 4.925 7.788 9.857 Å, 90.00 90.00 108.43°
Positions (direct):
Sc 0.168 0.337 0.250
Tm 0.668 0.336 0.000
Tm 0.668 0.336 0.500
Tm 0.332 0.664 0.000
Sm 0.498 0.996 0.750
Sc 0.832 0.663 0.750
Sm 0.502 0.004 0.250
Dy 0.000 0.000 0.500
Tm 0.830 0.661 0.250
Tm 0.332 0.664 0.500
Tm 0.170 0.339 0.750
Dy 0.000 0.000 0.000

***

- Among the records above, which one has the lowest density of states at the Fermi level?
  number 2